Material: TmScCo10
Method: DFT, PBE-GGA
State: relaxed

Values from the calculation:
Magnetization ... 14.4 μB per cell
E ... -6.9409 eV per atom

extended XYZ file:
```
12
Lattice="3.9625 0.0000 0.0000 0.0000 4.8234 0.0000 0.0000 0.0000 8.3638" Properties=species:S:1:pos:R:3 pbc="T T T"
Tm 0.0000 0.0000 0.0000
Sc 0.0000 2.4117 4.1819
Co 0.0000 0.0000 2.8498
Co 0.0000 0.0000 5.5140
Co 0.0000 2.4117 1.4976
Co 0.0000 2.4117 6.8662
Co 1.9813 0.0000 4.1819
Co 1.9813 1.2048 2.1033
Co 1.9813 1.2048 6.2605
Co 1.9813 2.4117 0.0000
Co 1.9813 3.6186 2.1033
Co 1.9813 3.6186 6.2605
```